La2Rh (GGA-PBE, optimized geometry); calculated volume = 98.6 Å³/f.u.; VASP energy = -6.293 eV per atom; formation enthalpy at 0 K = -0.56 eV per atom
1.0
6.7601 0.0000 0.0000
0.0000 6.8539 0.0000
0.0000 0.0000 4.2556
Rh La
2 4
Direct
0.5000 0.5000 0.5000
0.0000 0.0000 0.0000
0.7672 0.1665 0.5000
0.7328 0.6665 0.0000
0.2672 0.3335 0.0000
0.2328 0.8335 0.5000